No. 1
Computed, not measured: Sm8MgHg2 after structural relaxation at the PBE level of DFT.

Geometry as POSCAR:
```
Sm8MgHg2
1.0
9.198 -2.649 0.000
9.198 2.649 0.000
-2.146 0.000 7.003
Sm Mg Hg
8 1 2
Direct
0.027 0.027 0.261 Sm
0.189 0.189 0.796 Sm
0.331 0.331 0.535 Sm
0.410 0.410 0.033 Sm
0.590 0.590 0.967 Sm
0.669 0.669 0.465 Sm
0.811 0.811 0.204 Sm
0.973 0.973 0.739 Sm
0.500 0.500 0.500 Mg
0.187 0.187 0.208 Hg
0.813 0.813 0.792 Hg
```

Its density of states at the Fermi level is 10.9 states/eV per cell. The calculated formation energy is -0.143 eV per atom. As for the crystal system: monoclinic. The energy above the most stable polymorph in this dataset is 29.6 meV per atom. As for the theoretical density: 7.9 g cm⁻³. The calculation puts the volume at 31.02 Å³/atom. Its space group is No. 12.

=====

No. 2
Computed, not measured: Sm2MgHg4 after structural relaxation at the PBE level of DFT.

Geometry as POSCAR:
```
Sm2MgHg4
1.0
2.530 1.460 8.510
-2.530 1.460 8.510
0.000 -2.921 8.510
Sm Mg Hg
2 1 4
Direct
0.250 0.250 0.250 Sm
0.750 0.750 0.750 Sm
0.000 0.000 0.000 Mg
0.128 0.128 0.128 Hg
0.375 0.375 0.375 Hg
0.625 0.625 0.625 Hg
0.872 0.872 0.872 Hg
```

Its density of states at the Fermi level is 4.0 states/eV per cell. The calculated formation energy is -0.346 eV per atom. As for the crystal system: trigonal. The energy above the most stable polymorph in this dataset is 0.0 meV per atom. As for the theoretical density: 9.9 g cm⁻³. The calculation puts the volume at 26.95 Å³/atom. Its space group is No. 166.

=====

- What is the calculated formation energy in the first record?
  -0.143 eV per atom

=====

- Which of these has the lowest calculated formation energy?
  Sm2MgHg4

=====

- The highest theoretical density belongs to which entry?
  Sm2MgHg4